This record from Alexandria describes an optimized crystal structure of Al3V7Zn. The functional is PBE.

## Properties
**Theoretical density**: 5.1 g/cm3
**Total energy**: -6.78 eV per atom
**Density of states at the Fermi level**: 10.85 states/eV/f.u.

Geometry as CIF:
```
data_Al3V7Zn
_cell_length_a 9.087
_cell_length_b 9.087
_cell_length_c 14.053
_cell_angle_alpha 90.00
_cell_angle_beta 90.00
_cell_angle_gamma 163.71
_space_group_name_H-M_alt 'P 1'
_space_group_IT_number 1
_space_group_name_Hall 'P 1'
loop_
_atom_site_label
_atom_site_fract_x
_atom_site_fract_y
_atom_site_fract_z
Al1 0.120 0.880 0.514
Al2 0.120 0.880 0.986
Al3 0.234 0.766 0.250
Al4 0.766 0.234 0.750
Al5 0.880 0.120 0.014
Al6 0.880 0.120 0.486
V1 0.257 0.743 0.582
V2 0.257 0.743 0.918
V3 0.376 0.624 0.250
V4 0.376 0.624 0.659
V5 0.376 0.624 0.841
V6 0.496 0.504 0.585
V7 0.496 0.504 0.915
V8 0.504 0.496 0.085
V9 0.504 0.496 0.415
V10 0.624 0.376 0.159
V11 0.624 0.376 0.341
V12 0.624 0.376 0.750
V13 0.743 0.257 0.082
V14 0.743 0.257 0.418
Zn1 0.008 0.992 0.250
Zn2 0.992 0.008 0.750
```